[1]
A relaxed structure of LaMn2Cl, computed with PBE.

Values from the calculation:
* energy above the lowest structure with this stoichiometry: 81 meV/atom
* crystal system: monoclinic
* symmetry: Cm, No. 8
* formation energy without anion corrections: -0.13 eV per atom

The structure in extended XYZ format:
```
4
Lattice="-3.3463 -2.0614 0.0997 -1.2412 -2.0216 3.1353 -4.1751 5.2193 2.8270" Properties=species:S:1:pos:R:3 pbc="T T T"
Cl -4.6359 0.2844 3.2113
Mn -8.1282 0.3680 5.6321
Mn -6.9509 2.2401 4.7911
La -2.1916 -0.0517 1.5205
```


[2]
A relaxed structure of La2MnCl, computed with PBE.

Values from the calculation:
* energy above the lowest structure with this stoichiometry: 0 meV/atom
* crystal system: orthorhombic
* symmetry: Pmm2, No. 25
* formation energy without anion corrections: -0.58 eV per atom

The structure in extended XYZ format:
```
4
Lattice="-3.3857 -1.5782 1.5369 -1.1152 -1.5056 -4.0025 2.7969 -4.9470 1.0816" Properties=species:S:1:pos:R:3 pbc="T T T"
Cl 0.1858 -5.8509 -0.2907
La 2.6160 -4.6269 1.0116
La -1.2132 -3.3764 -0.8317
Mn 0.9028 -1.5969 0.3491
```


These records have E values of -25.62; -23.18 eV per cell, in the order they appear.